Entry 1:
Here is a relaxed structure of Y5CS4 from the Alexandria database. Energies are from PBE-GGA.

The structure in CIF format:
```
data_Y5CS4
_cell_length_a 3.867
_cell_length_b 3.867
_cell_length_c 14.001
_cell_angle_alpha 97.94
_cell_angle_beta 97.94
_cell_angle_gamma 90.00
_symmetry_space_group_name_H-M 'P 1'
_symmetry_Int_Tables_number 1
_symmetry_space_group_name_Hall 'P 1'
loop_
_atom_site_label
_atom_site_fract_x
_atom_site_fract_y
_atom_site_fract_z
Y1 0.087 0.087 0.175
Y2 0.500 0.500 0.000
Y3 0.913 0.913 0.825
Y4 0.298 0.298 0.595
Y5 0.702 0.702 0.405
C1 0.000 0.000 0.000
S1 0.400 0.400 0.800
S2 0.804 0.804 0.608
S3 0.196 0.196 0.392
S4 0.600 0.600 0.200
```

Final energy ... -0.55072 Ry/atom
Space-group type ... I4/mmm

***

Entry 2:
Here is a relaxed structure of Y2CS from the Alexandria database. Energies are from PBE-GGA.

The structure in CIF format:
```
data_Y2CS
_cell_length_a 3.786
_cell_length_b 3.786
_cell_length_c 10.839
_cell_angle_alpha 90.00
_cell_angle_beta 90.00
_cell_angle_gamma 90.00
_symmetry_space_group_name_H-M 'P 1'
_symmetry_Int_Tables_number 1
_symmetry_space_group_name_Hall 'P 1'
loop_
_atom_site_label
_atom_site_fract_x
_atom_site_fract_y
_atom_site_fract_z
Y1 0.701 0.484 0.215
Y2 0.701 0.483 0.770
Y3 0.201 0.983 0.446
Y4 0.201 0.984 0.001
C1 0.201 0.983 0.232
C2 0.701 0.483 0.984
S1 0.201 0.983 0.730
S2 0.701 0.483 0.486
```

Final energy ... -0.56860 Ry/atom
Space-group type ... P4/nmm

***

Entry 3:
Here is a relaxed structure of YC3S from the Alexandria database. Energies are from PBE-GGA.

The structure in CIF format:
```
data_YC3S
_cell_length_a 4.586
_cell_length_b 4.586
_cell_length_c 4.586
_cell_angle_alpha 90.00
_cell_angle_beta 90.00
_cell_angle_gamma 90.00
_symmetry_space_group_name_H-M 'P 1'
_symmetry_Int_Tables_number 1
_symmetry_space_group_name_Hall 'P 1'
loop_
_atom_site_label
_atom_site_fract_x
_atom_site_fract_y
_atom_site_fract_z
Y1 0.000 0.000 0.000
S1 0.500 0.500 0.500
C1 0.000 0.500 0.000
C2 0.000 0.000 0.500
C3 0.500 0.000 0.000
```

Offset from the most stable computed form ... 1490 meV/atom
Space-group type ... Pm-3m

***

Entry 4:
Here is a relaxed structure of Y4CS2 from the Alexandria database. Energies are from PBE-GGA.

The structure in CIF format:
```
data_Y4CS2
_cell_length_a 3.790
_cell_length_b 6.677
_cell_length_c 6.677
_cell_angle_alpha 108.79
_cell_angle_beta 90.00
_cell_angle_gamma 90.00
_symmetry_space_group_name_H-M 'P 1'
_symmetry_Int_Tables_number 1
_symmetry_space_group_name_Hall 'P 1'
loop_
_atom_site_label
_atom_site_fract_x
_atom_site_fract_y
_atom_site_fract_z
Y1 0.000 0.770 0.230
Y2 0.500 0.781 0.781
Y3 0.500 0.219 0.219
Y4 0.000 0.230 0.770
C1 0.000 0.000 0.000
S1 0.500 0.000 0.500
S2 0.500 0.500 0.000
```

Final energy ... -0.55173 Ry/atom
Space-group type ... Cmmm

***

Entry 5:
Here is a relaxed structure of YCS from the Alexandria database. Energies are from PBE-GGA.

The structure in CIF format:
```
data_YCS
_cell_length_a 2.886
_cell_length_b 3.884
_cell_length_c 11.010
_cell_angle_alpha 100.26
_cell_angle_beta 90.00
_cell_angle_gamma 111.81
_symmetry_space_group_name_H-M 'P 1'
_symmetry_Int_Tables_number 1
_symmetry_space_group_name_Hall 'P 1'
loop_
_atom_site_label
_atom_site_fract_x
_atom_site_fract_y
_atom_site_fract_z
S1 0.292 0.583 0.321
S2 0.708 0.417 0.679
Y1 0.529 0.057 0.160
Y2 0.471 0.943 0.840
C1 0.791 0.583 0.015
C2 0.209 0.417 0.985
```

Final energy ... -0.51387 Ry/atom
Space-group type ... C2/m

***

Entry 6:
Here is a relaxed structure of Y4CS from the Alexandria database. Energies are from PBE-GGA.

The structure in CIF format:
```
data_Y4CS
_cell_length_a 3.722
_cell_length_b 6.423
_cell_length_c 6.559
_cell_angle_alpha 108.88
_cell_angle_beta 90.00
_cell_angle_gamma 90.00
_symmetry_space_group_name_H-M 'P 1'
_symmetry_Int_Tables_number 1
_symmetry_space_group_name_Hall 'P 1'
loop_
_atom_site_label
_atom_site_fract_x
_atom_site_fract_y
_atom_site_fract_z
Y1 0.000 0.259 0.728
Y2 0.000 0.741 0.272
Y3 0.500 0.267 0.282
Y4 0.500 0.733 0.718
C1 0.000 0.500 0.500
S1 0.500 0.500 0.000
```

Final energy ... -0.54056 Ry/atom
Space-group type ... P2/m